No. 1
CrNiP2Cl | GGA-PBE | relaxed

Cell: 4.3403 4.3403 4.6314 Å, 90.00 90.00 90.00°
Fractional positions:
Cr  0.0000  0.0000  0.0000
Ni  0.5000  0.5000  0.5000
P  0.0000  0.5000  0.5000
P  0.5000  0.0000  0.5000
Cl  0.5000  0.5000  0.0000

Summary:
Formation energy without anion corrections in eV per atom: 0.9343
Relative energy among the computed polymorphs in meV/atom: 273
Final energy in eV/cell: -23.40
Total moment in Bohr magnetons per cell: 0.315

=====

No. 2
CrNiP2Cl | GGA-PBE | relaxed

Cell: 4.3334 4.3334 4.9299 Å, 90.00 90.00 90.00°
Fractional positions:
Cr  0.0000  0.0000  0.0000
Ni  0.5000  0.5000  0.5000
P  0.0000  0.5000  0.0000
P  0.5000  0.0000  0.0000
Cl  0.0000  0.0000  0.5000

Summary:
Formation energy without anion corrections in eV per atom: 0.6617
Relative energy among the computed polymorphs in meV/atom: 0
Final energy in eV/cell: -24.76
Total moment in Bohr magnetons per cell: 1.371

=====

No. 3
RbCrNiCl6 | GGA-PBE | relaxed

Cell: 6.2220 6.2220 7.4453 Å, 90.00 90.00 120.00°
Fractional positions:
Rb  0.0000  0.0000  0.0000
Cr  0.3333  0.6667  0.5000
Ni  0.6667  0.3333  0.5000
Cl  0.0058  0.3725  0.6804
Cl  0.0058  0.6333  0.3196
Cl  0.3667  0.3725  0.3196
Cl  0.3667  0.9942  0.6804
Cl  0.6275  0.6333  0.6804
Cl  0.6275  0.9942  0.3196

Summary:
Formation energy without anion corrections in eV per atom: -1.1324
Final energy in eV/cell: -37.64
Total moment in Bohr magnetons per cell: 4.859

=====

No. 4
RbCrNi2Cl8 | GGA-PBE | relaxed

Cell: 10.1390 10.1390 10.1390 Å, 35.57 35.57 35.57°
Fractional positions:
Rb  0.0000  0.0000  0.0000
Cr  0.5000  0.5000  0.5000
Ni  0.2351  0.2351  0.2351
Ni  0.7649  0.7649  0.7649
Cl  0.1462  0.4430  0.7647
Cl  0.2353  0.8538  0.5570
Cl  0.3118  0.3118  0.3118
Cl  0.4430  0.7647  0.1462
Cl  0.5570  0.2353  0.8538
Cl  0.6882  0.6882  0.6882
Cl  0.7647  0.1462  0.4430
Cl  0.8538  0.5570  0.2353

Summary:
Formation energy without anion corrections in eV per atom: -0.8929
Final energy in eV/cell: -47.64
Total moment in Bohr magnetons per cell: 1.000

=====

No. 5
Rb2CrNiCl6 | GGA-PBE | relaxed

Cell: 6.8253 6.8253 6.8253 Å, 116.35 116.35 96.45°
Fractional positions:
Rb  0.2500  0.7500  0.5000
Rb  0.7500  0.2500  0.5000
Cr  0.0000  0.0000  0.0000
Ni  0.5000  0.5000  0.0000
Cl  0.2386  0.2386  0.4772
Cl  0.2386  0.7614  0.0000
Cl  0.2570  0.2570  0.0000
Cl  0.7430  0.7430  0.0000
Cl  0.7614  0.2386  0.0000
Cl  0.7614  0.7614  0.5228

Summary:
Formation energy without anion corrections in eV per atom: -1.2200
Final energy in eV/cell: -40.62
Total moment in Bohr magnetons per cell: 4.159

=====

No. 6
Cr2ReNiCl | GGA-PBE | relaxed

Cell: 4.7612 4.7612 4.0200 Å, 90.00 90.00 90.00°
Fractional positions:
Cr  0.0000  0.5000  0.0000
Cr  0.5000  0.0000  0.0000
Re  0.0000  0.0000  0.5000
Ni  0.5000  0.5000  0.0000
Cl  0.5000  0.5000  0.5000

Summary:
Formation energy without anion corrections in eV per atom: 1.4882
Final energy in eV/cell: -31.88
Total moment in Bohr magnetons per cell: 5.164

=====

No. 7
CrNi2RhCl | GGA-PBE | relaxed

Cell: 4.3584 4.3584 4.4740 Å, 90.00 90.00 90.00°
Fractional positions:
Cr  0.0000  0.0000  0.0000
Ni  0.0000  0.5000  0.0000
Ni  0.5000  0.0000  0.0000
Rh  0.0000  0.0000  0.5000
Cl  0.5000  0.5000  0.5000

Summary:
Formation energy without anion corrections in eV per atom: 1.1419
Final energy in eV/cell: -24.67
Total moment in Bohr magnetons per cell: 0.000

=====

No. 8
CrNiRu2Cl | GGA-PBE | relaxed

Cell: 4.5060 4.5060 4.3754 Å, 90.00 90.00 90.00°
Fractional positions:
Cr  0.0000  0.0000  0.0000
Ni  0.0000  0.0000  0.5000
Ru  0.0000  0.5000  0.0000
Ru  0.5000  0.0000  0.0000
Cl  0.5000  0.5000  0.5000

Summary:
Formation energy without anion corrections in eV per atom: 1.3689
Final energy in eV/cell: -28.96
Total moment in Bohr magnetons per cell: 2.247

=====

No. 9
CrNiSCl2 | GGA-PBE | relaxed

Cell: 4.6454 4.6454 4.8136 Å, 90.00 90.00 90.00°
Fractional positions:
Cr  0.0000  0.0000  0.0000
Ni  0.5000  0.5000  0.5000
S  0.0000  0.0000  0.5000
Cl  0.0000  0.5000  0.0000
Cl  0.5000  0.0000  0.0000

Summary:
Formation energy without anion corrections in eV per atom: 0.1460
Relative energy among the computed polymorphs in meV/atom: 67
Final energy in eV/cell: -22.50
Total moment in Bohr magnetons per cell: 4.519

=====

No. 10
CrNiSCl2 | GGA-PBE | relaxed

Cell: 4.5095 4.5095 4.6963 Å, 90.00 90.00 90.00°
Fractional positions:
Cr  0.0000  0.0000  0.0000
Ni  0.5000  0.5000  0.5000
S  0.5000  0.5000  0.0000
Cl  0.0000  0.5000  0.5000
Cl  0.5000  0.0000  0.5000

Summary:
Formation energy without anion corrections in eV per atom: 0.0787
Relative energy among the computed polymorphs in meV/atom: 0
Final energy in eV/cell: -22.83
Total moment in Bohr magnetons per cell: 3.989

=====

No. 11
Ti2CrNiCl | GGA-PBE | relaxed

Cell: 4.4236 4.4236 4.0042 Å, 90.00 90.00 90.00°
Fractional positions:
Ti  0.0000  0.5000  0.0000
Ti  0.5000  0.0000  0.0000
Cr  0.0000  0.0000  0.5000
Ni  0.5000  0.5000  0.5000
Cl  0.5000  0.5000  0.0000

Summary:
Formation energy without anion corrections in eV per atom: 0.5004
Final energy in eV/cell: -30.54
Total moment in Bohr magnetons per cell: 0.000

=====

No. 12
TlCrNiCl6 | GGA-PBE | relaxed

Cell: 6.2143 6.2143 7.2094 Å, 90.00 90.00 120.00°
Fractional positions:
Tl  0.0000  0.0000  0.0000
Cr  0.6667  0.3333  0.5000
Ni  0.3333  0.6667  0.5000
Cl  0.3715  0.0053  0.3139
Cl  0.3715  0.3662  0.6861
Cl  0.6338  0.0053  0.6861
Cl  0.6338  0.6285  0.3139
Cl  0.9947  0.3662  0.3139
Cl  0.9947  0.6285  0.6861

Summary:
Formation energy without anion corrections in eV per atom: -0.9126
Final energy in eV/cell: -37.06
Total moment in Bohr magnetons per cell: 4.847

=====

No. 13
ZrCrNiCl2 | GGA-PBE | relaxed

Cell: 4.4706 4.4706 5.1573 Å, 90.00 90.00 90.00°
Fractional positions:
Zr  0.0000  0.0000  0.0000
Cr  0.5000  0.5000  0.0000
Ni  0.0000  0.0000  0.5000
Cl  0.0000  0.5000  0.5000
Cl  0.5000  0.0000  0.5000

Summary:
Formation energy without anion corrections in eV per atom: 0.4678
Final energy in eV/cell: -25.31
Total moment in Bohr magnetons per cell: 3.847

=====

No. 14
Np2CrCl8 | GGA-PBE | relaxed

Cell: 10.4667 10.4667 8.1055 Å, 101.65 101.65 21.47°
Fractional positions:
Np  0.1507  0.1507  0.3389
Np  0.8493  0.8493  0.6611
Cr  0.5000  0.5000  0.0000
Cl  0.0083  0.0083  0.2075
Cl  0.2472  0.2472  0.6663
Cl  0.3806  0.3806  0.9357
Cl  0.3931  0.3931  0.4780
Cl  0.6069  0.6069  0.5220
Cl  0.6194  0.6194  0.0643
Cl  0.7528  0.7528  0.3337
Cl  0.9917  0.9917  0.7925

Summary:
Formation energy without anion corrections in eV per atom: -1.4915
Final energy in eV/cell: -66.68
Total moment in Bohr magnetons per cell: 12.000

=====

No. 15
NpCrCl6 | GGA-PBE | relaxed

Cell: 6.9519 6.9519 6.3703 Å, 97.89 97.89 125.36°
Fractional positions:
Np  0.0000  0.0000  0.0000
Cr  0.5000  0.5000  0.5000
Cl  0.1397  0.4152  0.2751
Cl  0.2526  0.2526  0.7444
Cl  0.4152  0.1397  0.2751
Cl  0.5848  0.8603  0.7249
Cl  0.7474  0.7474  0.2556
Cl  0.8603  0.5848  0.7249

Summary:
Formation energy without anion corrections in eV per atom: -1.3956
Final energy in eV/cell: -44.81
Total moment in Bohr magnetons per cell: 7.000

=====

No. 16
NpTl2CrCl8 | GGA-PBE | relaxed

Cell: 6.6421 7.9044 7.2008 Å, 90.00 92.19 90.00°
Fractional positions:
Np  0.0000  0.0000  0.0000
Tl  0.5000  0.2703  0.5000
Tl  0.5000  0.7297  0.5000
Cr  0.0000  0.5000  0.0000
Cl  0.1811  0.5000  0.2825
Cl  0.2130  0.0000  0.3170
Cl  0.2202  0.2673  0.8830
Cl  0.2202  0.7327  0.8830
Cl  0.7798  0.2673  0.1170
Cl  0.7798  0.7327  0.1170
Cl  0.7870  0.0000  0.6830
Cl  0.8189  0.5000  0.7175

Summary:
Formation energy without anion corrections in eV per atom: -1.2534
Final energy in eV/cell: -57.11
Total moment in Bohr magnetons per cell: 7.000